Zn2H3Cl4 | Alexandria | PBE-GGA | optimized geometry; V = 23.2 Å³ per atom; space group = P-1, No. 2; crystal system = triclinic; total DFT energy (no corrections) = -2.589 eV per atom
1.0
7.361 -0.483 -1.644
-3.874 4.670 1.344
-1.839 1.865 7.027
Zn H Cl
2 3 4
Direct
0.808 0.331 0.322 Zn
0.192 0.669 0.678 Zn
0.392 0.045 0.629 H
0.000 0.000 0.000 H
0.608 0.955 0.371 H
0.833 0.672 0.968 Cl
0.167 0.328 0.032 Cl
0.786 0.514 0.510 Cl
0.214 0.486 0.490 Cl